[1]
A relaxed TlVO2 crystal. Source: Alexandria, functional PBE with a Hubbard U.

It has space group I-42d (No. 122), with a = 5.845 Å, b = 5.845 Å, c = 8.351 Å, α = 90.00°, β = 90.00° and γ = 90.00°. The distinct sites, in fractional coordinates, are Tl at (0.000, 0.000, 0.000), V at (0.000, 0.000, 0.500) and O at (0.120, 0.250, 0.625).

The calculation puts the energy above the most stable polymorph in this dataset at 30 meV per atom.

=====

[2]
A relaxed TlVO2 crystal. Source: Alexandria, functional PBE with a Hubbard U.

It has space group Fm-3m (No. 225), with a = 5.942 Å, b = 5.942 Å, c = 5.942 Å, α = 90.00°, β = 90.00° and γ = 90.00°. The distinct sites, in fractional coordinates, are Tl at (0.000, 0.000, 0.000), V at (0.000, 0.000, 0.500) and O at (0.250, 0.250, 0.250).

The calculation puts the energy above the most stable polymorph in this dataset at 1110 meV per atom.

=====

[3]
A relaxed Tl2VO crystal. Source: Alexandria, functional PBE with a Hubbard U.

It has space group Fm-3m (No. 225), with a = 6.886 Å, b = 6.886 Å, c = 6.886 Å, α = 90.00°, β = 90.00° and γ = 90.00°. The distinct sites, in fractional coordinates, are Tl at (0.250, 0.250, 0.250), V at (0.000, 0.000, 0.000) and O at (0.000, 0.000, 0.500).

The calculation puts the energy above the most stable polymorph in this dataset at 376 meV per atom.

=====

[4]
A relaxed Tl2V2O7 crystal. Source: Alexandria, functional PBE with a Hubbard U.

It has space group Fd-3m (No. 227, origin choice 2), with a = 10.285 Å, b = 10.285 Å, c = 10.285 Å, α = 90.00°, β = 90.00° and γ = 90.00°. The distinct sites, in fractional coordinates, are Tl at (0.000, 0.000, 0.000), V at (0.000, 0.000, 0.500), O at (0.061, 0.375, 0.875) and O at (0.125, 0.125, 0.125).

For the raw total energy, the calculation gives -6.289 eV/atom.

=====

[5]
A relaxed TlV2O crystal. Source: Alexandria, functional PBE with a Hubbard U.

It has space group Fm-3m (No. 225), with a = 6.531 Å, b = 6.531 Å, c = 6.531 Å, α = 90.00°, β = 90.00° and γ = 90.00°. The distinct sites, in fractional coordinates, are Tl at (0.000, 0.000, 0.000), V at (0.250, 0.250, 0.250) and O at (0.000, 0.000, 0.500).

The calculation puts the energy above the most stable polymorph in this dataset at 1032 meV per atom.

=====

[6]
A relaxed TlVO2 crystal. Source: Alexandria, functional PBE with a Hubbard U.

It has space group R-3m (No. 166, hexagonal axes), with a = 3.1156 Å, b = 3.1156 Å, c = 21.1776 Å, α = 90.00°, β = 90.00° and γ = 120.00°. The distinct sites, in fractional coordinates, are Tl at (0.0000, 0.0000, 0.0000), V at (0.0000, 0.0000, 0.5000) and O at (0.0000, 0.0000, 0.1188).

The calculation puts the energy above the most stable polymorph in this dataset at 0 meV per atom.

=====

M_tot for the records above, in order: 8.0; 8.4; 18.2; 2.1; 26.2; 5.5 Bohr magnetons per cell